# 1
A plane-wave DFT calculation with PBE was carried out for a geometry-optimized CaTb2S4 structure.

Lattice parameters (Å, degrees): 3.9184 6.7762 13.3547 90.00 90.00 106.81
Fractional coordinates of all 14 atoms:
Ca (0.6135, 0.2269, 0.7500)
Ca (0.3865, 0.7731, 0.2500)
Tb (0.1338, 0.2675, 0.4282)
Tb (0.8662, 0.7325, 0.9282)
Tb (0.1338, 0.2675, 0.0718)
Tb (0.8662, 0.7325, 0.5718)
S (0.7724, 0.5449, 0.1180)
S (0.7724, 0.5449, 0.3820)
S (0.2276, 0.4551, 0.8820)
S (0.2276, 0.4551, 0.6180)
S (0.9622, 0.9243, 0.7500)
S (0.0378, 0.0757, 0.2500)
S (0.5000, 0.0000, 0.0000)
S (0.5000, 0.0000, 0.5000)

Computed properties:
Energy relative to the elements, uncorrected (eV/atom): -2.084
Density (g cm⁻³): 4.8
Distance to the lowest polymorph of the same formula (meV per atom): 0.0
Raw total energy (eV per atom): -6.051


# 2
A plane-wave DFT calculation with PBE was carried out for a geometry-optimized Ca4TbS5 structure.

Lattice parameters (Å, degrees): 4.0028 4.0028 14.5010 97.93 97.93 90.00
Fractional coordinates of all 10 atoms:
Ca (0.4004, 0.4004, 0.8008)
Ca (0.8003, 0.8003, 0.6005)
Ca (0.1997, 0.1997, 0.3995)
Ca (0.5996, 0.5996, 0.1992)
Tb (0.0000, 0.0000, 0.0000)
S (0.0983, 0.0983, 0.1966)
S (0.5000, 0.5000, 0.0000)
S (0.9017, 0.9017, 0.8034)
S (0.3004, 0.3004, 0.6008)
S (0.6996, 0.6996, 0.3992)

Computed properties:
Energy relative to the elements, uncorrected (eV/atom): -2.116
Density (g cm⁻³): 3.5
Raw total energy (eV per atom): -5.443
N(E_F) (states/eV per atom): 0.187


# 3
A plane-wave DFT calculation with PBE was carried out for a geometry-optimized Ca6TbS8 structure.

Lattice parameters (Å, degrees): 8.0737 8.0737 8.0737 60.00 60.00 60.00
Fractional coordinates of all 15 atoms:
Ca (0.0000, 0.5000, 0.5000)
Ca (0.5000, 0.0000, 0.0000)
Ca (0.5000, 0.5000, 0.0000)
Ca (0.0000, 0.0000, 0.5000)
Ca (0.0000, 0.5000, 0.0000)
Ca (0.5000, 0.0000, 0.5000)
Tb (0.0000, 0.0000, 0.0000)
S (0.7500, 0.7500, 0.7500)
S (0.2500, 0.2500, 0.2500)
S (0.7599, 0.2401, 0.2401)
S (0.2401, 0.7599, 0.7599)
S (0.2401, 0.2401, 0.7599)
S (0.7599, 0.7599, 0.2401)
S (0.7599, 0.2401, 0.7599)
S (0.2401, 0.7599, 0.2401)

Computed properties:
Energy relative to the elements, uncorrected (eV/atom): -1.986
Density (g cm⁻³): 2.9
Raw total energy (eV per atom): -5.297
N(E_F) (states/eV per atom): 0.587